<A>
# PrGdPb2 | Alexandria via LeMat-Bulk | GGA-PBE | relaxed
# Magnetization = 7.94 μB/f.u.
# Volume = 29.8 Å³/atom
data_PrGdPb2
_chemical_formula_sum 'Pr1 Gd1 Pb2'
_cell_length_a 5.1038
_cell_length_b 5.1038
_cell_length_c 4.5725
_cell_angle_alpha 90.00
_cell_angle_beta 90.00
_cell_angle_gamma 90.00
_space_group_name_H-M_alt 'P 4/m m m'
_space_group_IT_number 123
_space_group_name_Hall '-P 4 2'
loop_
_atom_site_label
_atom_site_type_symbol
_atom_site_fract_x
_atom_site_fract_y
_atom_site_fract_z
Pr1 Pr 0.0000 0.0000 0.0000
Gd1 Gd 0.5000 0.5000 0.0000
Pb1 Pb 0.0000 0.5000 0.5000

***

<B>
# PrGdPb2 | Alexandria via LeMat-Bulk | GGA-PBE | relaxed
# Magnetization = 7.12 μB/f.u.
# Volume = 32.9 Å³/atom
data_PrGdPb2
_chemical_formula_sum 'Pr3 Gd3 Pb6'
_cell_length_a 4.1569
_cell_length_b 4.1569
_cell_length_c 26.3856
_cell_angle_alpha 90.00
_cell_angle_beta 90.00
_cell_angle_gamma 120.00
_space_group_name_H-M_alt 'R -3 m'
_space_group_IT_number 166
_space_group_name_Hall '-R 3 2"'
loop_
_atom_site_label
_atom_site_type_symbol
_atom_site_fract_x
_atom_site_fract_y
_atom_site_fract_z
Pr1 Pr 0.0000 0.0000 0.0000
Gd1 Gd 0.0000 0.0000 0.5000
Pb1 Pb 0.0000 0.0000 0.2480

***

Each structure's energy above the most stable one, in meV per atom: <A> 0; <B> 124.

***

<A>
# GdPuPb2 | Alexandria via LeMat-Bulk | GGA-PBE | relaxed
# Magnetization = 1.09 μB/f.u.
# Volume = 29.4 Å³/atom
data_GdPuPb2
_chemical_formula_sum 'Gd4 Pu4 Pb8'
_cell_length_a 7.7798
_cell_length_b 7.7798
_cell_length_c 7.7798
_cell_angle_alpha 90.00
_cell_angle_beta 90.00
_cell_angle_gamma 90.00
_space_group_name_H-M_alt 'F m -3 m'
_space_group_IT_number 225
_space_group_name_Hall '-F 4 2 3'
loop_
_atom_site_label
_atom_site_type_symbol
_atom_site_fract_x
_atom_site_fract_y
_atom_site_fract_z
Gd1 Gd 0.0000 0.0000 0.0000
Pu1 Pu 0.0000 0.0000 0.5000
Pb1 Pb 0.2500 0.2500 0.2500

***

<B>
# GdPuPb2 | Alexandria via LeMat-Bulk | GGA-PBE | relaxed
# Magnetization = 0.80 μB/f.u.
# Volume = 28.6 Å³/atom
data_GdPuPb2
_chemical_formula_sum 'Gd1 Pu1 Pb2'
_cell_length_a 5.0297
_cell_length_b 5.0297
_cell_length_c 4.5273
_cell_angle_alpha 90.00
_cell_angle_beta 90.00
_cell_angle_gamma 90.00
_space_group_name_H-M_alt 'P 4/m m m'
_space_group_IT_number 123
_space_group_name_Hall '-P 4 2'
loop_
_atom_site_label
_atom_site_type_symbol
_atom_site_fract_x
_atom_site_fract_y
_atom_site_fract_z
Gd1 Gd 0.0000 0.0000 0.0000
Pu1 Pu 0.5000 0.5000 0.0000
Pb1 Pb 0.0000 0.5000 0.5000

***

Each structure's energy above the most stable one, in meV per atom: <A> 39; <B> 0.